BaPAu, relaxed, DFT PBE; N(E_F) = 0.6 states/eV/cell; total moment = 0.0 μB per formula unit; formation energy = -0.3543 eV per atom; symmetry = No. 107
1.0
-4.916 1.475 -1.811
-2.952 -4.547 -0.485
2.910 1.874 4.203
Ba Au P
1 1 1
Direct
0.661 0.661 0.000
0.036 0.036 0.000
0.303 0.303 0.000